# LuNpGa2 PBE optimized geometry
data_LuNpGa2
_chemical_formula_sum 'Lu4 Np4 Ga8'
_cell_length_a 7.042
_cell_length_b 7.042
_cell_length_c 7.042
_cell_angle_alpha 90.00
_cell_angle_beta 90.00
_cell_angle_gamma 90.00
_space_group_name_H-M_alt 'F m -3 m'
_space_group_IT_number 225
_space_group_name_Hall '-F 4 2 3'
loop_
_atom_site_label
_atom_site_type_symbol
_atom_site_fract_x
_atom_site_fract_y
_atom_site_fract_z
Lu1 Lu 0.000 0.000 0.000
Np1 Np 0.000 0.000 0.500
Ga1 Ga 0.250 0.250 0.250
# calculated formation energy	-0.242	eV/atom
# calculated total energy	-6.12	eV/atom
# V	87.31	Å³/f.u.
# energy above the lowest structure with this stoichiometry	0.010	eV/atom

# TaMnVOs PBE optimized geometry
data_TaMnVOs
_chemical_formula_sum 'Ta4 Mn4 V4 Os4'
_cell_length_a 6.108
_cell_length_b 6.108
_cell_length_c 6.108
_cell_angle_alpha 90.00
_cell_angle_beta 90.00
_cell_angle_gamma 90.00
_space_group_name_H-M_alt 'F -4 3 m'
_space_group_IT_number 216
_space_group_name_Hall 'F -4 2 3'
loop_
_atom_site_label
_atom_site_type_symbol
_atom_site_fract_x
_atom_site_fract_y
_atom_site_fract_z
Ta1 Ta 0.000 0.000 0.000
Mn1 Mn 0.250 0.250 0.250
V1 V 0.000 0.000 0.500
Os1 Os 0.250 0.250 0.750
# calculated formation energy	-0.239	eV/atom
# calculated total energy	-10.58	eV/atom
# V	56.97	Å³/f.u.

# PaOsBrO6 PBE optimized geometry
data_PaOsBrO6
_chemical_formula_sum 'Pa4 Os4 Br4 O24'
_cell_length_a 7.173
_cell_length_b 8.064
_cell_length_c 11.526
_cell_angle_alpha 90.00
_cell_angle_beta 90.00
_cell_angle_gamma 90.00
_space_group_name_H-M_alt 'I m m a'
_space_group_IT_number 74
_space_group_name_Hall '-I 2b 2'
loop_
_atom_site_label
_atom_site_type_symbol
_atom_site_fract_x
_atom_site_fract_y
_atom_site_fract_z
Pa1 Pa 0.000 0.000 0.000
Os1 Os 0.250 0.250 0.250
Br1 Br 0.000 0.250 0.536
O1 O 0.000 0.250 0.310
O2 O 0.000 0.250 0.948
O3 O 0.187 0.087 0.142
# energy relative to the elements, uncorrected	-1.667	eV/atom
# calculated total energy	-7.46	eV/atom
# V	166.66	Å³/f.u.

# RbAuF2 PBE optimized geometry
data_RbAuF2
_chemical_formula_sum 'Rb2 Au2 F4'
_cell_length_a 4.3309
_cell_length_b 4.3309
_cell_length_c 13.3397
_cell_angle_alpha 90.00
_cell_angle_beta 90.00
_cell_angle_gamma 120.00
_space_group_name_H-M_alt 'P 63/m m c'
_space_group_IT_number 194
_space_group_name_Hall '-P 6c 2c'
loop_
_atom_site_label
_atom_site_type_symbol
_atom_site_fract_x
_atom_site_fract_y
_atom_site_fract_z
Rb1 Rb 0.0000 0.0000 0.0000
Au1 Au 0.3333 0.6667 0.2500
F1 F 0.3333 0.6667 0.0986
# energy relative to the elements, uncorrected	-1.720	eV/atom
# calculated total energy	-3.72	eV/atom
# V	108.34	Å³/f.u.
# energy above the lowest structure with this stoichiometry	0.000	eV/atom

# Tb7Pm4Er PBE optimized geometry
data_Tb7Pm4Er
_chemical_formula_sum 'Tb7 Pm4 Er1'
_cell_length_a 6.550
_cell_length_b 6.848
_cell_length_c 9.114
_cell_angle_alpha 85.75
_cell_angle_beta 77.41
_cell_angle_gamma 82.38
_space_group_name_H-M_alt 'P -1'
_space_group_IT_number 2
loop_
_space_group_symop_operation_xyz
'x,y,z'
'-x,-y,-z'
loop_
_atom_site_label
_atom_site_type_symbol
_atom_site_fract_x
_atom_site_fract_y
_atom_site_fract_z
Tb1 Tb 0.000 0.000 0.000
Tb2 Tb 0.189 0.606 0.384
Tb3 Tb 0.317 0.198 0.640
Tb4 Tb 0.489 0.747 0.051
Pm1 Pm 0.158 0.116 0.307
Pm2 Pm 0.361 0.691 0.718
Er1 Er 0.000 0.500 0.000
# calculated formation energy	0.087	eV/atom
# calculated total energy	-4.58	eV/atom
# V	394.99	Å³/f.u.
# energy above the lowest structure with this stoichiometry	0.000	eV/atom

# PaSb2Rh PBE optimized geometry
data_PaSb2Rh
_chemical_formula_sum 'Pa1 Sb2 Rh1'
_cell_length_a 4.650
_cell_length_b 4.650
_cell_length_c 4.080
_cell_angle_alpha 90.00
_cell_angle_beta 90.00
_cell_angle_gamma 90.00
_space_group_name_H-M_alt 'P 4/m m m'
_space_group_IT_number 123
_space_group_name_Hall '-P 4 2'
loop_
_atom_site_label
_atom_site_type_symbol
_atom_site_fract_x
_atom_site_fract_y
_atom_site_fract_z
Pa1 Pa 0.000 0.000 0.000
Sb1 Sb 0.000 0.500 0.500
Rh1 Rh 0.500 0.500 0.000
# energy relative to the elements, uncorrected	-0.430	eV/atom
# calculated total energy	-6.70	eV/atom
# V	88.24	Å³/f.u.

# CaLaCo PBE optimized geometry
data_CaLaCo
_chemical_formula_sum 'Ca4 La4 Co4'
_cell_length_a 6.724
_cell_length_b 6.724
_cell_length_c 6.724
_cell_angle_alpha 90.00
_cell_angle_beta 90.00
_cell_angle_gamma 90.00
_space_group_name_H-M_alt 'F -4 3 m'
_space_group_IT_number 216
_space_group_name_Hall 'F -4 2 3'
loop_
_atom_site_label
_atom_site_type_symbol
_atom_site_fract_x
_atom_site_fract_y
_atom_site_fract_z
Ca1 Ca 0.000 0.000 0.000
La1 La 0.250 0.250 0.750
Co1 Co 0.000 0.000 0.500
# calculated formation energy	0.826	eV/atom
# calculated total energy	-3.85	eV/atom
# V	76.01	Å³/f.u.
# energy above the lowest structure with this stoichiometry	0.871	eV/atom

# Tb8FeCu2 PBE optimized geometry
data_Tb8FeCu2
_chemical_formula_sum 'Tb16 Fe2 Cu4'
_cell_length_a 17.127
_cell_length_b 5.109
_cell_length_c 6.681
_cell_angle_alpha 90.00
_cell_angle_beta 106.79
_cell_angle_gamma 90.00
_space_group_name_H-M_alt 'C 1 2/m 1'
_space_group_IT_number 12
loop_
_space_group_symop_operation_xyz
'x,y,z'
'-x,-y,-z'
'-x,y,-z'
'x,-y,z'
'x+1/2,y+1/2,z'
'-x+1/2,-y+1/2,-z'
'-x+1/2,y+1/2,-z'
'x+1/2,-y+1/2,z'
loop_
_atom_site_label
_atom_site_type_symbol
_atom_site_fract_x
_atom_site_fract_y
_atom_site_fract_z
Tb1 Tb 0.031 0.000 0.295
Tb2 Tb 0.090 0.500 0.937
Tb3 Tb 0.164 0.500 0.475
Tb4 Tb 0.199 0.000 0.820
Fe1 Fe 0.000 0.500 0.500
Cu1 Cu 0.185 0.000 0.221
# calculated formation energy	-0.043	eV/atom
# calculated total energy	-4.92	eV/atom
# V	279.85	Å³/f.u.

# ScCdTc PBE optimized geometry
data_ScCdTc
_chemical_formula_sum 'Sc1 Cd1 Tc1'
_cell_length_a 4.7364
_cell_length_b 4.7364
_cell_length_c 2.8194
_cell_angle_alpha 90.00
_cell_angle_beta 90.00
_cell_angle_gamma 120.00
_space_group_name_H-M_alt 'P 3 m 1'
_space_group_IT_number 156
loop_
_space_group_symop_operation_xyz
'x,y,z'
'-y,x-y,z'
'-x+y,-x,z'
'-y,-x,z'
'-x+y,y,z'
'x,x-y,z'
loop_
_atom_site_label
_atom_site_type_symbol
_atom_site_fract_x
_atom_site_fract_y
_atom_site_fract_z
Sc1 Sc 0.0000 0.0000 0.0000
Cd1 Cd 0.3333 0.6667 0.6090
Tc1 Tc 0.6667 0.3333 0.2688
# calculated formation energy	0.115	eV/atom
# calculated total energy	-5.76	eV/atom
# V	54.77	Å³/f.u.
# energy above the lowest structure with this stoichiometry	0.054	eV/atom

# V4Ru5Rh2 PBE optimized geometry
data_V4Ru5Rh2
_chemical_formula_sum 'V16 Ru20 Rh8'
_cell_length_a 5.283
_cell_length_b 8.230
_cell_length_c 15.991
_cell_angle_alpha 90.00
_cell_angle_beta 90.00
_cell_angle_gamma 90.00
_space_group_name_H-M_alt 'F m m m'
_space_group_IT_number 69
_space_group_name_Hall '-F 2 2'
loop_
_atom_site_label
_atom_site_type_symbol
_atom_site_fract_x
_atom_site_fract_y
_atom_site_fract_z
V1 V 0.000 0.166 0.132
Ru1 Ru 0.000 0.000 0.000
Ru2 Ru 0.250 0.250 0.000
Ru3 Ru 0.250 0.250 0.250
Rh1 Rh 0.000 0.000 0.399
# calculated formation energy	0.428	eV/atom
# calculated total energy	-8.44	eV/atom
# V	173.80	Å³/f.u.

# HgPbSe2 PBE optimized geometry
data_HgPbSe2
_chemical_formula_sum 'Hg4 Pb4 Se8'
_cell_length_a 7.402
_cell_length_b 7.402
_cell_length_c 7.402
_cell_angle_alpha 90.00
_cell_angle_beta 90.00
_cell_angle_gamma 90.00
_space_group_name_H-M_alt 'F -4 3 m'
_space_group_IT_number 216
_space_group_name_Hall 'F -4 2 3'
loop_
_atom_site_label
_atom_site_type_symbol
_atom_site_fract_x
_atom_site_fract_y
_atom_site_fract_z
Hg1 Hg 0.000 0.000 0.000
Pb1 Pb 0.250 0.250 0.750
Se1 Se 0.000 0.000 0.500
Se2 Se 0.250 0.250 0.250
# energy relative to the elements, uncorrected	0.140	eV/atom
# calculated total energy	-2.60	eV/atom
# V	101.38	Å³/f.u.
# energy above the lowest structure with this stoichiometry	0.442	eV/atom

# Ni2PbS PBE optimized geometry
data_Ni2PbS
_chemical_formula_sum 'Ni8 Pb4 S4'
_cell_length_a 4.729
_cell_length_b 4.729
_cell_length_c 13.508
_cell_angle_alpha 90.00
_cell_angle_beta 90.00
_cell_angle_gamma 90.00
_space_group_name_H-M_alt 'I -4 2 d'
_space_group_IT_number 122
_space_group_name_Hall 'I -4 2bw'
loop_
_atom_site_label
_atom_site_type_symbol
_atom_site_fract_x
_atom_site_fract_y
_atom_site_fract_z
Ni1 Ni 0.104 0.250 0.125
Pb1 Pb 0.000 0.000 0.500
S1 S 0.000 0.000 0.000
# energy relative to the elements, uncorrected	-0.163	eV/atom
# calculated total energy	-5.01	eV/atom
# V	75.52	Å³/f.u.
# energy above the lowest structure with this stoichiometry	0.000	eV/atom

# Nb3S4 PBE optimized geometry
data_Nb3S4
_chemical_formula_sum 'Nb6 S8'
_cell_length_a 13.611
_cell_length_b 3.298
_cell_length_c 6.119
_cell_angle_alpha 90.00
_cell_angle_beta 114.08
_cell_angle_gamma 90.00
_space_group_name_H-M_alt 'C 1 2/m 1'
_space_group_IT_number 12
loop_
_space_group_symop_operation_xyz
'x,y,z'
'-x,-y,-z'
'-x,y,-z'
'x,-y,z'
'x+1/2,y+1/2,z'
'-x+1/2,-y+1/2,-z'
'-x+1/2,y+1/2,-z'
'x+1/2,-y+1/2,z'
loop_
_atom_site_label
_atom_site_type_symbol
_atom_site_fract_x
_atom_site_fract_y
_atom_site_fract_z
Nb1 Nb 0.000 0.000 0.000
Nb2 Nb 0.242 0.500 0.684
S1 S 0.107 0.000 0.443
S2 S 0.137 0.500 0.973
# energy relative to the elements, uncorrected	-1.041	eV/atom
# calculated total energy	-7.71	eV/atom
# V	125.42	Å³/f.u.
# energy above the lowest structure with this stoichiometry	0.075	eV/atom

# Pu4P2Br5 PBE optimized geometry
data_Pu4P2Br5
_chemical_formula_sum 'Pu8 P4 Br10'
_cell_length_a 4.881
_cell_length_b 11.647
_cell_length_c 13.646
_cell_angle_alpha 90.00
_cell_angle_beta 90.00
_cell_angle_gamma 90.00
_space_group_name_H-M_alt 'I m m m'
_space_group_IT_number 71
_space_group_name_Hall '-I 2 2'
loop_
_atom_site_label
_atom_site_type_symbol
_atom_site_fract_x
_atom_site_fract_y
_atom_site_fract_z
Pu1 Pu 0.000 0.000 0.149
Pu2 Pu 0.000 0.140 0.500
P1 P 0.000 0.000 0.336
Br1 Br 0.000 0.343 0.360
Br2 Br 0.000 0.500 0.000
# energy relative to the elements, uncorrected	-0.810	eV/atom
# calculated total energy	-7.77	eV/atom
# V	387.85	Å³/f.u.

# SnHgAu2 PBE optimized geometry
data_SnHgAu2
_chemical_formula_sum 'Sn1 Hg1 Au2'
_cell_length_a 3.509
_cell_length_b 3.509
_cell_length_c 6.989
_cell_angle_alpha 90.00
_cell_angle_beta 90.00
_cell_angle_gamma 90.00
_space_group_name_H-M_alt 'P 4/m m m'
_space_group_IT_number 123
_space_group_name_Hall '-P 4 2'
loop_
_atom_site_label
_atom_site_type_symbol
_atom_site_fract_x
_atom_site_fract_y
_atom_site_fract_z
Sn1 Sn 0.000 0.000 0.000
Hg1 Hg 0.000 0.000 0.500
Au1 Au 0.500 0.500 0.252
# calculated formation energy	0.019	eV/atom
# calculated total energy	-2.70	eV/atom
# V	86.04	Å³/f.u.
# energy above the lowest structure with this stoichiometry	0.077	eV/atom

# La6Pm5Er PBE optimized geometry
data_La6Pm5Er
_chemical_formula_sum 'La6 Pm5 Er1'
_cell_length_a 5.245
_cell_length_b 8.310
_cell_length_c 10.250
_cell_angle_alpha 89.91
_cell_angle_beta 89.92
_cell_angle_gamma 71.71
_space_group_name_H-M_alt 'P -1'
_space_group_IT_number 2
loop_
_space_group_symop_operation_xyz
'x,y,z'
'-x,-y,-z'
loop_
_atom_site_label
_atom_site_type_symbol
_atom_site_fract_x
_atom_site_fract_y
_atom_site_fract_z
La1 La 0.000 0.000 0.248
La2 La 0.334 0.332 0.249
La3 La 0.334 0.332 0.751
Pm1 Pm 0.166 0.669 0.000
Pm2 Pm 0.167 0.666 0.500
Pm3 Pm 0.500 0.000 0.500
Er1 Er 0.500 0.000 0.000
# calculated formation energy	0.016	eV/atom
# calculated total energy	-4.81	eV/atom
# V	424.17	Å³/f.u.

# Sc5CSe2 PBE optimized geometry
data_Sc5CSe2
_chemical_formula_sum 'Sc10 C2 Se4'
_cell_length_a 8.284
_cell_length_b 10.346
_cell_length_c 3.488
_cell_angle_alpha 90.00
_cell_angle_beta 90.00
_cell_angle_gamma 90.00
_space_group_name_H-M_alt 'P b a m'
_space_group_IT_number 55
loop_
_space_group_symop_operation_xyz
'x,y,z'
'-x,-y,-z'
'-x,-y,z'
'x,y,-z'
'x+1/2,-y+1/2,-z'
'-x+1/2,y+1/2,z'
'-x+1/2,y+1/2,-z'
'x+1/2,-y+1/2,z'
loop_
_atom_site_label
_atom_site_type_symbol
_atom_site_fract_x
_atom_site_fract_y
_atom_site_fract_z
Sc1 Sc 0.000 0.000 0.000
Sc2 Sc 0.097 0.295 0.000
Sc3 Sc 0.170 0.551 0.500
C1 C 0.000 0.500 0.000
Se1 Se 0.140 0.819 0.500
# energy relative to the elements, uncorrected	-0.976	eV/atom
# calculated total energy	-6.96	eV/atom
# V	149.49	Å³/f.u.

# La2Pm2NdTm2 PBE optimized geometry
data_La2Pm2NdTm2
_chemical_formula_sum 'La4 Pm4 Nd2 Tm4'
_cell_length_a 11.506
_cell_length_b 5.144
_cell_length_c 8.145
_cell_angle_alpha 90.00
_cell_angle_beta 98.15
_cell_angle_gamma 90.00
_space_group_name_H-M_alt 'C 1 2/m 1'
_space_group_IT_number 12
loop_
_space_group_symop_operation_xyz
'x,y,z'
'-x,-y,-z'
'-x,y,-z'
'x,-y,z'
'x+1/2,y+1/2,z'
'-x+1/2,-y+1/2,-z'
'-x+1/2,y+1/2,-z'
'x+1/2,-y+1/2,z'
loop_
_atom_site_label
_atom_site_type_symbol
_atom_site_fract_x
_atom_site_fract_y
_atom_site_fract_z
La1 La 0.144 0.000 0.429
Pm1 Pm 0.071 0.500 0.720
Nd1 Nd 0.000 0.000 0.000
Tm1 Tm 0.216 0.500 0.138
# calculated formation energy	0.027	eV/atom
# calculated total energy	-4.70	eV/atom
# V	238.58	Å³/f.u.

# TaSi3P PBE optimized geometry
data_TaSi3P
_chemical_formula_sum 'Ta1 Si3 P1'
_cell_length_a 4.889
_cell_length_b 4.889
_cell_length_c 4.889
_cell_angle_alpha 90.00
_cell_angle_beta 90.00
_cell_angle_gamma 90.00
_space_group_name_H-M_alt 'P m -3 m'
_space_group_IT_number 221
_space_group_name_Hall '-P 4 2 3'
loop_
_atom_site_label
_atom_site_type_symbol
_atom_site_fract_x
_atom_site_fract_y
_atom_site_fract_z
Ta1 Ta 0.000 0.000 0.000
Si1 Si 0.000 0.000 0.500
P1 P 0.500 0.500 0.500
# energy relative to the elements, uncorrected	1.146	eV/atom
# calculated total energy	-5.56	eV/atom
# V	116.89	Å³/f.u.
# energy above the lowest structure with this stoichiometry	0.123	eV/atom

# La3TiBe PBE optimized geometry
data_La3TiBe
_chemical_formula_sum 'La3 Ti1 Be1'
_cell_length_a 5.388
_cell_length_b 5.388
_cell_length_c 5.388
_cell_angle_alpha 90.00
_cell_angle_beta 90.00
_cell_angle_gamma 90.00
_space_group_name_H-M_alt 'P m -3 m'
_space_group_IT_number 221
_space_group_name_Hall '-P 4 2 3'
loop_
_atom_site_label
_atom_site_type_symbol
_atom_site_fract_x
_atom_site_fract_y
_atom_site_fract_z
La1 La 0.000 0.000 0.500
Ti1 Ti 0.500 0.500 0.500
Be1 Be 0.000 0.000 0.000
# calculated formation energy	0.692	eV/atom
# calculated total energy	-4.59	eV/atom
# V	156.43	Å³/f.u.
# energy above the lowest structure with this stoichiometry	0.000	eV/atom

| no. | spin magnetization (μB per formula unit) |
| --- | --- |
| 1 | 4.26 |
| 2 | 0.00 |
| 3 | 0.06 |
| 4 | 0.00 |
| 5 | 0.00 |
| 6 | 0.00 |
| 7 | 0.00 |
| 8 | 0.00 |
| 9 | 0.13 |
| 10 | 0.00 |
| 11 | 0.00 |
| 12 | 0.00 |
| 13 | 0.00 |
| 14 | 21.00 |
| 15 | 0.00 |
| 16 | 0.00 |
| 17 | 0.00 |
| 18 | 0.00 |
| 19 | 0.00 |
| 20 | 0.00 |